1.
Entry from Alexandria: Sc2ReAuI after structural relaxation (GGA-PBE).

a b c (Å): 5.1937 5.1937 5.3543
angles (deg): 90.00 90.00 90.00
Last column: nearest neighbours and their distance in Å.
Space group P4/mmm (No. 123)
Symmetry-distinct sites (fractional):
Sc 0.0000 0.5000 0.0000  2 Au 2.60
Re 0.0000 0.0000 0.5000  4 I 3.67, 8 Sc 3.73
Au 0.5000 0.5000 0.0000  4 Sc 2.60, 2 I 2.68
I 0.5000 0.5000 0.5000  2 Au 2.68

* formation energy (no corrections): 1.2954 eV per atom
* M_tot: 2.55 μB per cell


2.
Entry from Alexandria: Rb2Ce2CoSe6 after structural relaxation (GGA-PBE).

a b c (Å): 7.1092 11.9819 8.5355
angles (deg): 90.00 106.82 90.00
Last column: nearest neighbours and their distance in Å.
Space group C2/m (No. 12)
Symmetry-distinct sites (fractional):
Rb 0.0000 0.1743 0.0000  6 Se 3.46-3.56
Ce 0.0000 0.3308 0.5000  6 Se 2.89-2.92
Co 0.0000 0.0000 0.5000  6 Se 2.50-2.57
Se 0.2175 0.1471 0.6854  1 Co 2.57
Se 0.2249 0.0000 0.3228  1 Co 2.50

* formation energy (no corrections): -1.1863 eV per atom
* M_tot: 2.23 μB per cell


3.
Entry from Alexandria: PmHf2Ru3 after structural relaxation (GGA-PBE).

a b c (Å): 3.2917 3.2917 10.1573
angles (deg): 90.00 90.00 90.00
Last column: nearest neighbours and their distance in Å.
Space group P4/mmm (No. 123)
Symmetry-distinct sites (fractional):
Pm 0.0000 0.0000 0.0000  8 Ru 3.03, 4 Pm 3.29
Hf 0.0000 0.0000 0.3394  8 Ru 2.77-2.84
Ru 0.5000 0.5000 0.1913  4 Hf 2.77, 4 Pm 3.03
Ru 0.5000 0.5000 0.5000  8 Hf 2.84, 2 Ru 3.14

* M_tot: 0.00 μB per cell
* energy of formation: -0.58 eV per atom


4.
Entry from Alexandria: CaScB after structural relaxation (GGA-PBE).

a b c (Å): 3.1966 6.2855 6.8840
angles (deg): 82.21 76.60 89.99
Last column: nearest neighbours and their distance in Å.
Space group P-1 (No. 2)
Symmetry-distinct sites (fractional):
Ca 0.0801 0.2693 0.3441  3 B 2.65-2.95
Sc 0.3217 0.2154 0.8565  3 B 2.44-2.45
B 0.2459 0.5488 0.0081  2 B 1.72

* offset from the most stable computed form: 0.105 eV/atom
* M_tot: 0.00 μB per cell
* energy of formation: -0.13 eV per atom


Look up the M_tot of the second one. 2.23 μB per cell


Number 1 is which compound? Sc2ReAuI


Look up the M_tot of the fourth one. 0.00 μB per cell